[1]
First-principles (PBE-GGA) data for SiBiI3 after structural relaxation, as listed in the Alexandria database.

ΔE_f (raw) = 0.31 eV per atom
Polymorph energy (0 for the lowest one) = 0.000 eV per atom

```
SiBiI3
1.0
5.5937 0.0000 0.0000
0.0000 5.5937 0.0000
0.0000 0.0000 5.5937
I Si Bi
3 1 1
Direct
0.0000 0.5000 0.0000
0.0000 0.0000 0.5000
0.5000 0.0000 0.0000
0.0000 0.0000 0.0000
0.5000 0.5000 0.5000
```



[2]
First-principles (PBE-GGA) data for AcMg4ZnCd2 after structural relaxation, as listed in the Alexandria database.

Formation energy from the elements = -0.13 eV/atom

```
AcMg4ZnCd2
1.0
-2.4020 -4.2223 0.5218
-0.4923 -3.0175 -3.8107
7.1721 -6.7480 1.2849
Ac Mg Zn Cd
1 4 1 2
Direct
0.0000 0.0000 0.0000
0.4057 0.4057 0.7828
0.8664 0.8664 0.4008
0.1336 0.1336 0.5992
0.5943 0.5943 0.2172
0.5000 0.5000 0.5000
0.7495 0.7495 0.7516
0.2505 0.2505 0.2484
```



[3]
First-principles (PBE-GGA) data for CaCrGa after structural relaxation, as listed in the Alexandria database.

Formation energy from the elements = -0.03 eV/atom

```
CaCrGa
1.0
-2.5301 -2.6805 -1.6592
3.7604 -1.1100 0.9831
-9.1178 -7.6412 26.2490
Cr Ca Ga
6 6 6
Direct
0.0000 0.0000 0.6613
0.0000 0.0000 0.3387
0.3333 0.6667 0.3280
0.3333 0.6667 0.0053
0.6667 0.3333 0.9947
0.6667 0.3333 0.6720
0.0000 0.0000 0.2232
0.0000 0.0000 0.7768
0.3333 0.6667 0.8899
0.3333 0.6667 0.4434
0.6667 0.3333 0.5566
0.6667 0.3333 0.1101
0.0000 0.0000 0.9551
0.0000 0.0000 0.0449
0.3333 0.6667 0.6218
0.3333 0.6667 0.7116
0.6667 0.3333 0.2884
0.6667 0.3333 0.3782
```